# 1
# CaMoPd2Ru PBE-GGA relaxed
# Total magnetization in Bohr magnetons per cell: 0.0
# ΔH_f (0 K) in eV/f.u.: 2.56
data_CaMoPd2Ru
_symmetry_space_group_name_H-M 'P 4/m m m'
_symmetry_Int_Tables_number 123
_symmetry_space_group_name_Hall '-P 4 2'
_cell_length_a 4.924
_cell_length_b 4.924
_cell_length_c 4.602
_cell_angle_alpha 90.00
_cell_angle_beta 90.00
_cell_angle_gamma 90.00
loop_
_atom_site_label
_atom_site_type_symbol
_atom_site_fract_x
_atom_site_fract_y
_atom_site_fract_z
Ca1 Ca 0.000 0.000 0.000
Mo1 Mo 0.500 0.500 0.500
Pd1 Pd 0.000 0.500 0.500
Ru1 Ru 0.500 0.500 0.000


# 2
# ScOsPb2O PBE-GGA relaxed
# Total magnetization in Bohr magnetons per cell: 0.0
data_ScOsPb2O
_symmetry_space_group_name_H-M 'P 4/m m m'
_symmetry_Int_Tables_number 123
_symmetry_space_group_name_Hall '-P 4 2'
_cell_length_a 5.647
_cell_length_b 5.647
_cell_length_c 3.655
_cell_angle_alpha 90.00
_cell_angle_beta 90.00
_cell_angle_gamma 90.00
loop_
_atom_site_label
_atom_site_type_symbol
_atom_site_fract_x
_atom_site_fract_y
_atom_site_fract_z
Sc1 Sc 0.000 0.000 0.000
Os1 Os 0.500 0.500 0.500
Pb1 Pb 0.000 0.500 0.500
O1 O 0.500 0.500 0.000


Number 1: DOS(E_F) 1.13 states/eV/atom, VASP energy -5.9863 eV/atom. Number 2: DOS(E_F) 0.65 states/eV/atom, VASP energy -6.0236 eV/atom.